Here is a PBEsol-optimized structure of KThCuS3 from Alexandria. Energies are from SCAN.

POSCAR file:
```
KThCuS3
1.0
-3.7348 1.4183 -0.4880
-0.6455 -6.1638 3.6232
0.8040 5.2251 9.0322
S K Th Cu
6 2 2 2
Direct
0.9344 0.8688 0.7500
0.6261 0.2521 0.5712
0.0656 0.1312 0.2500
0.3739 0.7479 0.4288
0.3739 0.7479 0.0712
0.6261 0.2521 0.9288
0.7450 0.4900 0.2500
0.2550 0.5100 0.7500
0.0000 0.0000 0.5000
0.0000 0.0000 0.0000
0.4710 0.9419 0.2500
0.5290 0.0581 0.7500
```

Summary:
The formation energy (no corrections) comes out at -1.645 eV per atom. The total magnetic moment comes out at 0.0000 μB per atom. As for the symmetry: No. 63.


Here is a PBEsol-optimized structure of K2ThCu2S4 from Alexandria. Energies are from SCAN.

POSCAR file:
```
K2ThCu2S4
1.0
-1.6025 3.3922 1.2615
-1.2378 -4.9180 5.4431
6.8726 2.9331 0.8432
S Cu K Th
4 2 2 1
Direct
0.2033 0.4066 0.1736
0.5233 0.0466 0.7598
0.7967 0.5934 0.8264
0.4767 0.9534 0.2402
0.3196 0.6393 0.0118
0.6804 0.3607 0.9882
0.8622 0.7244 0.4344
0.1378 0.2756 0.5656
0.0000 0.0000 0.0000
```

Summary:
The formation energy (no corrections) comes out at -1.389 eV per atom. The total magnetic moment comes out at 0.0000 μB per atom. As for the symmetry: No. 12.


Here is a PBEsol-optimized structure of KCuSb from Alexandria. Energies are from SCAN.

POSCAR file:
```
KCuSb
1.0
4.3258 0.0000 0.0000
-2.1629 3.7463 0.0000
0.0000 0.0000 5.2905
K Sb Cu
1 1 1
Direct
0.3333 0.6667 0.0000
0.6667 0.3333 0.5000
0.0000 0.0000 0.5000
```

Summary:
The formation energy (no corrections) comes out at -0.233 eV per atom. The excess energy over the best structure of this formula in the dataset comes out at 0 meV per atom. The total magnetic moment comes out at 0.0001 μB per atom. As for the symmetry: No. 187.


Here is a PBEsol-optimized structure of KCuSb from Alexandria. Energies are from SCAN.

POSCAR file:
```
KCuSb
1.0
-2.1883 3.9937 -1.3786
-4.7517 0.2425 0.0341
-2.2201 2.7249 3.2070
Cu Sb K
1 1 1
Direct
0.2500 0.2500 0.2500
0.5000 0.5000 0.5000
0.0000 0.0000 0.0000
```

Summary:
The formation energy (no corrections) comes out at 0.174 eV per atom. The excess energy over the best structure of this formula in the dataset comes out at 408 meV per atom. The total magnetic moment comes out at 0.0003 μB per atom. As for the symmetry: No. 216.


Here is a PBEsol-optimized structure of KCuSb2 from Alexandria. Energies are from SCAN.

POSCAR file:
```
KCuSb2
1.0
5.2154 0.0000 0.0000
2.6077 4.5167 0.0000
2.6077 1.5056 4.2584
Sb K Cu
2 1 1
Direct
0.7500 0.7500 0.7500
0.0000 0.0000 0.0000
0.2500 0.2500 0.2500
0.5000 0.5000 0.5000
```

Summary:
The formation energy (no corrections) comes out at 0.301 eV per atom. The excess energy over the best structure of this formula in the dataset comes out at 338 meV per atom. The total magnetic moment comes out at 0.0000 μB per atom. As for the symmetry: No. 216.


Here is a PBEsol-optimized structure of KCuSb2 from Alexandria. Energies are from SCAN.

POSCAR file:
```
KCuSb2
1.0
-0.6152 -1.1112 3.7613
3.8040 -0.6040 0.4438
-0.7461 7.8118 0.0908
Sb Cu K
2 1 1
Direct
0.8456 0.3456 0.6911
0.9965 0.9965 0.9930
0.4611 0.4611 0.9223
0.1968 0.6968 0.3936
```

Summary:
The formation energy (no corrections) comes out at -0.038 eV per atom. The excess energy over the best structure of this formula in the dataset comes out at 0 meV per atom. The total magnetic moment comes out at 0.0000 μB per atom. As for the symmetry: No. 44.


Here is a PBEsol-optimized structure of KCuSb2 from Alexandria. Energies are from SCAN.

POSCAR file:
```
KCuSb2
1.0
-1.6785 3.8949 1.5668
-4.1771 -1.3806 -1.0430
2.4798 -3.2140 4.1226
Sb K Cu
2 1 1
Direct
0.7500 0.2500 0.5000
0.2500 0.7500 0.5000
0.0000 0.0000 0.0000
0.5000 0.5000 0.0000
```

Summary:
The formation energy (no corrections) comes out at 0.296 eV per atom. The excess energy over the best structure of this formula in the dataset comes out at 334 meV per atom. The total magnetic moment comes out at 0.0000 μB per atom. As for the symmetry: No. 139.


Here is a PBEsol-optimized structure of KScCu3 from Alexandria. Energies are from SCAN.

POSCAR file:
```
KScCu3
1.0
4.9774 0.0000 0.0000
0.0000 4.9774 0.0000
0.0000 0.0000 4.9774
Cu K Sc
3 1 1
Direct
0.5000 0.0000 0.0000
0.0000 0.5000 0.0000
0.0000 0.0000 0.5000
0.5000 0.5000 0.5000
0.0000 0.0000 0.0000
```

Summary:
Its formation enthalpy at 0 K is 0.797 eV/atom. The total magnetic moment comes out at 0.0000 μB per atom. As for the symmetry: No. 221.


Here is a PBEsol-optimized structure of KScCuSe2 from Alexandria. Energies are from SCAN.

POSCAR file:
```
KScCuSe2
1.0
-3.3634 -1.2122 -3.6685
3.7123 0.3336 -3.5138
1.0644 -4.9377 0.6557
Cu Se Sc K
1 2 1 1
Direct
0.0000 0.0000 0.5000
0.0000 0.5000 0.0000
0.5000 0.0000 0.0000
0.0000 0.0000 0.0000
0.5000 0.5000 0.5000
```

Summary:
The formation energy (no corrections) comes out at -0.668 eV per atom. The total magnetic moment comes out at 0.0000 μB per atom. As for the symmetry: No. 123.


Here is a PBEsol-optimized structure of KSr2ScCu from Alexandria. Energies are from SCAN.

POSCAR file:
```
KSr2ScCu
1.0
5.3590 0.0000 0.0000
0.0000 6.2161 0.0000
0.0000 0.0000 6.2161
K Cu Sc Sr
1 1 1 2
Direct
0.0000 0.0000 0.0000
0.5000 0.5000 0.5000
0.5000 0.0000 0.0000
0.0000 0.5000 0.0000
0.0000 0.0000 0.5000
```

Summary:
Its formation enthalpy at 0 K is 1.409 eV/atom. The total magnetic moment comes out at 0.6843 μB per atom. As for the symmetry: No. 123.


Here is a PBEsol-optimized structure of KCu2Se from Alexandria. Energies are from SCAN.

POSCAR file:
```
KCu2Se
1.0
3.8539 0.0000 0.0000
-1.9270 3.8974 -0.0224
0.0000 -2.3640 5.9094
Se K Cu
1 1 2
Direct
0.6989 0.3979 0.1056
0.5098 0.0197 0.5094
0.3034 0.6068 0.9352
0.9878 0.9756 0.9498
```

Summary:
The formation energy (no corrections) comes out at -0.141 eV per atom. The total magnetic moment comes out at 0.0000 μB per atom. As for the symmetry: No. 8.


Here is a PBEsol-optimized structure of KCu2Se from Alexandria. Energies are from SCAN.

POSCAR file:
```
KCu2Se
1.0
-0.2120 2.8043 -3.2755
-2.6076 -2.6953 -2.1387
-1.7338 1.6604 4.3788
Cu K Se
2 1 1
Direct
0.7500 0.2500 0.5000
0.2500 0.7500 0.5000
0.5000 0.5000 0.0000
0.0000 0.0000 0.0000
```

Summary:
The formation energy (no corrections) comes out at 0.345 eV per atom. The total magnetic moment comes out at 0.0000 μB per atom. As for the symmetry: No. 139.


no.,VASP energy (eV for the cell shown)
1,-316.40
2,-193.99
3,-61.49
4,-60.27
5,-96.85
6,-98.20
7,-96.86
8,-64.18
9,-81.26
10,-75.27
11,-59.37
12,-57.43